No. 1
Computed, not measured: an optimized crystal structure of CuSiAu at the PBE level of DFT.

Structure (POSCAR):
```
CuSiAu
1.0
-1.420 1.420 5.584
1.420 -1.420 5.584
1.420 1.420 -5.584
Cu Si Au
1 1 1
Cartesian
0.000 0.000 0.000
0.000 0.000 4.072
0.000 0.000 7.575
```

raw formation energy: 0.15 eV per atom
polymorph energy (0 for the lowest one): 163 meV/atom
Fermi-level density of states: 0.89 states/eV per cell


No. 2
Computed, not measured: an optimized crystal structure of Tb8PrNd4 at the PBE level of DFT.

Structure (POSCAR):
```
Tb8PrNd4
1.0
7.865 0.000 0.000
0.000 7.865 0.000
0.000 0.000 7.865
Tb Pr Nd
8 1 4
Cartesian
1.877 1.877 1.877
1.877 1.877 5.988
1.877 5.988 1.877
1.877 5.988 5.988
5.988 1.877 1.877
5.988 1.877 5.988
5.988 5.988 1.877
5.988 5.988 5.988
3.932 3.932 3.932
0.000 0.000 0.000
0.000 3.932 3.932
3.932 0.000 3.932
3.932 3.932 0.000
```

calculated total energy: -4.1738 eV/atom
Fermi-level density of states: 20.11 states/eV per cell